# 1
Entry from Alexandria: crystalline BeInSb at its relaxed geometry (PBE).

Unit cell a=4.579 b=4.579 c=4.579 alpha=60.00 beta=60.00 gamma=60.00
Fractional coordinates of all 3 atoms:
Sb: 0.500 0.500 0.500
Be: 0.750 0.750 0.750
In: 0.000 0.000 0.000

Calculated values
Energy relative to the elements, uncorrected, meV per atom: 288

***

# 2
Entry from Alexandria: crystalline BaAcSiCl at its relaxed geometry (PBE).

Unit cell a=5.567 b=5.567 c=5.567 alpha=60.00 beta=60.00 gamma=60.00
Fractional coordinates of all 4 atoms:
Ac: 0.500 0.500 0.500
Si: 0.250 0.250 0.250
Ba: 0.000 0.000 0.000
Cl: 0.750 0.750 0.750

Calculated values
Energy relative to the elements, uncorrected, meV per atom: -963

***

# 3
Entry from Alexandria: crystalline NdEr2Pu at its relaxed geometry (PBE).

Unit cell a=3.515 b=3.515 c=9.980 alpha=90.00 beta=90.00 gamma=90.00
Each line ends with the local moment (μB).
Fractional coordinates of all 4 atoms:
Er: 0.000 0.000 0.761  0.20
Er: 0.000 0.000 0.239  0.20
Nd: 0.500 0.500 0.500  0.00
Pu: 0.500 0.500 0.000  5.57

Calculated values
Energy of formation from the pure elements, eV per atom: 0.0978

***

# 4
Entry from Alexandria: crystalline RbPmDy4Se8 at its relaxed geometry (PBE).

Unit cell a=8.622 b=8.622 c=8.735 alpha=60.43 beta=60.43 gamma=60.00
Fractional coordinates of all 14 atoms:
Rb: 0.371 0.371 0.888
Pm: 0.005 0.005 0.984
Dy: 0.626 0.626 0.123
Dy: 0.004 0.487 0.505
Dy: 0.487 0.004 0.505
Dy: 0.004 0.004 0.505
Se: 0.237 0.801 0.724
Se: 0.801 0.237 0.724
Se: 0.237 0.237 0.724
Se: 0.231 0.231 0.308
Se: 0.755 0.230 0.260
Se: 0.230 0.755 0.260
Se: 0.755 0.755 0.260
Se: 0.757 0.757 0.729

Calculated values
Energy relative to the elements, uncorrected, meV per atom: -1720

***

# 5
Entry from Alexandria: crystalline Ba2NaIn7 at its relaxed geometry (PBE).

Unit cell a=4.958 b=4.958 c=12.850 alpha=90.00 beta=90.00 gamma=90.00
Fractional coordinates of all 10 atoms:
Ba: 0.500 0.000 0.739
Ba: 0.000 0.500 0.261
Na: 0.500 0.500 0.000
In: 0.000 0.500 0.862
In: 0.500 0.000 0.364
In: 0.500 0.000 0.138
In: 0.000 0.500 0.636
In: 0.000 0.000 0.500
In: 0.000 0.000 0.000
In: 0.500 0.500 0.500

Calculated values
Energy of formation from the pure elements, eV per atom: -0.3242

***

# 6
Entry from Alexandria: crystalline LiSm12Al6 at its relaxed geometry (PBE).

Unit cell a=8.804 b=8.804 c=8.804 alpha=107.50 beta=107.50 gamma=107.50
Fractional coordinates of all 19 atoms:
Li: 0.000 0.000 0.000
Sm: 0.922 0.665 0.582
Sm: 0.582 0.922 0.665
Sm: 0.665 0.582 0.922
Sm: 0.078 0.335 0.418
Sm: 0.418 0.078 0.335
Sm: 0.335 0.418 0.078
Sm: 0.035 0.883 0.343
Sm: 0.117 0.657 0.965
Sm: 0.657 0.965 0.117
Sm: 0.965 0.117 0.657
Sm: 0.883 0.343 0.035
Sm: 0.343 0.035 0.883
Al: 0.653 0.759 0.343
Al: 0.657 0.347 0.241
Al: 0.241 0.657 0.347
Al: 0.347 0.241 0.657
Al: 0.343 0.653 0.759
Al: 0.759 0.343 0.653

Calculated values
Energy of formation from the pure elements, eV per atom: 0.0225

***

Quick rundown of magnetization, same order as above: 0.00; 0.00; 6.47; 0.00; 0.00; 0.00 μB per formula unit